Density functional theory data (PBE) for a relaxed structure of HoMgScIr.

Properties
The value obtained for the energy of formation is -492 meV/atom. The magnetic moment comes out at 0.000 μB per formula unit. The value obtained for the density of states at the Fermi level is 0.566 states/eV per atom.

Lattice parameters (Å, degrees): 6.8902 6.8902 6.8902 90.00 90.00 90.00
Space group F-43m (No. 216)
Unique sites:
Ho 0.0000 0.0000 0.0000 x4
Mg 0.2500 0.2500 0.2500 x4
Sc 0.0000 0.0000 0.5000 x4
Ir 0.2500 0.2500 0.7500 x4